No. 1
# Sr2SiMo

A relaxed Sr2SiMo crystal (PBE, Alexandria).

abc: 10.4764 10.4764 10.4764
angles: 18.90 18.90 18.90
Fractional coordinates of all 4 atoms:
Sr (0.2479, 0.2479, 0.2479)
Sr (0.7521, 0.7521, 0.7521)
Si (0.5000, 0.5000, 0.5000)
Mo (0.0000, 0.0000, 0.0000)

Calculated values
Energy relative to the elements, uncorrected in eV/atom: 0.920
E in eV/atom: -3.985
Space-group type: R-3m (166)
Mass density in kg/m3: 4713


No. 2
# Sr2SiMo

A relaxed Sr2SiMo crystal (PBE, Alexandria).

abc: 6.3773 6.3773 6.3773
angles: 145.35 130.53 61.80
Fractional coordinates of all 4 atoms:
Sr (0.0000, 0.0000, 0.0000)
Sr (0.7024, 0.2024, 0.5000)
Si (0.4431, 0.4431, 0.0000)
Mo (0.3086, 0.8086, 0.5000)

Calculated values
Energy relative to the elements, uncorrected in eV/atom: 0.275
E in eV/atom: -4.629
Space-group type: Imm2 (44)
Mass density in kg/m3: 4481